No. 1
Compound: Ti2TeOsSe
Source: the Alexandria database
Functional: GGA-PBE
Structure: relaxed

Geometry as extended XYZ:
```
5
Lattice="4.935 0.000 0.000 0.000 4.935 0.000 0.000 0.000 5.115" Properties=species:S:1:pos:R:3 pbc="T T T"
Ti 0.000 2.467 0.000
Ti 2.467 0.000 0.000
Te 0.000 0.000 0.000
Os 2.467 2.467 2.558
Se 0.000 0.000 2.558
```

Properties
For the electronic total energy, the calculation gives -25.0 eV per formula unit. The value obtained for the formation energy without anion corrections is 1.72 eV/atom. Its energy above the most stable polymorph in this dataset is 1227 meV per atom.

---

No. 2
Compound: ZrIrW
Source: the Alexandria database
Functional: GGA-PBE
Structure: relaxed

Geometry as extended XYZ:
```
6
Lattice="-1.930 1.930 7.386 1.930 -1.930 7.386 1.930 1.930 -7.386" Properties=species:S:1:pos:R:3 pbc="T T T"
Zr 0.000 0.000 2.657
Zr 0.000 0.000 12.115
Ir 0.000 0.000 5.434
Ir 0.000 0.000 9.337
W 1.930 0.000 0.000
W 0.000 1.930 0.000
```

Properties
For the electronic total energy, the calculation gives -31.2 eV per formula unit. Its energy above the most stable polymorph in this dataset is 0 meV per atom. For the energy relative to the elements, the calculation gives -0.271 eV per atom.

---

No. 3
Compound: Li5GePd2
Source: the Alexandria database
Functional: GGA-PBE
Structure: relaxed

Geometry as extended XYZ:
```
16
Lattice="4.496 0.000 0.000 -2.248 3.894 0.000 0.000 0.000 15.126" Properties=species:S:1:pos:R:3 pbc="T T T"
Li 0.000 0.000 2.276
Li 0.000 0.000 5.287
Li 0.000 0.000 9.839
Li 0.000 0.000 12.850
Li 0.000 2.596 1.108
Li 0.000 2.596 3.782
Li 0.000 2.596 6.455
Li 2.248 1.298 8.671
Li 2.248 1.298 11.345
Li 2.248 1.298 14.018
Ge 0.000 2.596 11.345
Ge 2.248 1.298 3.782
Pd 0.000 2.596 8.950
Pd 0.000 2.596 13.739
Pd 2.248 1.298 1.387
Pd 2.248 1.298 6.176
```

Properties
For the electronic total energy, the calculation gives -26.6 eV per formula unit. Its energy above the most stable polymorph in this dataset is 144 meV per atom. For the energy relative to the elements, the calculation gives -0.253 eV per atom.

---

No. 4
Compound: Rb2US4
Source: the Alexandria database
Functional: GGA-PBE
Structure: relaxed

Geometry as extended XYZ:
```
14
Lattice="8.166 0.000 0.000 0.000 13.200 0.000 0.000 0.000 4.164" Properties=species:S:1:pos:R:3 pbc="T T T"
Rb 0.569 2.331 0.000
Rb 3.514 8.931 0.000
Rb 4.652 4.269 0.000
Rb 7.597 10.869 0.000
U 0.000 6.600 2.082
U 4.083 0.000 2.082
S 0.980 8.840 2.082
S 1.517 5.953 0.000
S 2.566 12.553 0.000
S 3.103 2.240 2.082
S 5.063 10.960 2.082
S 5.600 0.647 0.000
S 6.649 7.248 0.000
S 7.186 4.360 2.082
```

Properties
For the electronic total energy, the calculation gives -38.6 eV per formula unit. The value obtained for the formation energy without anion corrections is -1.26 eV/atom. Its energy above the most stable polymorph in this dataset is 33 meV per atom.

---

No. 5
Compound: PmDy3Er6
Source: the Alexandria database
Functional: GGA-PBE
Structure: relaxed

Geometry as extended XYZ:
```
20
Lattice="5.479 -9.408 0.000 5.479 9.408 0.000 0.000 0.000 6.152" Properties=species:S:1:pos:R:3 pbc="T T T"
Pm 5.479 5.499 3.076
Pm 5.479 -5.499 0.000
Dy 1.896 2.044 1.863
Dy 1.896 -2.044 4.939
Dy 5.479 2.053 2.556
Dy 5.479 -2.053 5.632
Dy 9.061 2.044 1.863
Dy 9.061 -2.044 4.939
Er 2.714 3.966 4.365
Er 5.479 8.519 1.607
Er 5.479 4.039 6.065
Er 3.673 0.888 5.382
Er 3.673 -0.888 2.306
Er 2.714 -3.966 1.289
Er 8.243 3.966 4.365
Er 7.284 0.888 5.382
Er 7.284 -0.888 2.306
Er 5.479 -4.039 2.989
Er 5.479 -8.519 4.683
Er 8.243 -3.966 1.289
```

Properties
For the electronic total energy, the calculation gives -44.5 eV per formula unit. Its energy above the most stable polymorph in this dataset is 0 meV per atom. For the energy relative to the elements, the calculation gives 0.148 eV per atom.

---

No. 6
Compound: BaBeRh2
Source: the Alexandria database
Functional: GGA-PBE
Structure: relaxed

Geometry as extended XYZ:
```
4
Lattice="3.068 0.000 0.000 0.000 3.631 0.000 -0.607 0.000 6.682" Properties=species:S:1:pos:R:3 pbc="T T T"
Ba 0.000 0.000 0.000
Be 1.231 0.000 3.341
Rh 0.390 1.816 4.454
Rh 2.071 1.816 2.228
```

Properties
For the electronic total energy, the calculation gives -19.9 eV per formula unit. For the energy relative to the elements, the calculation gives 0.101 eV per atom.

---

No. 7
Compound: Na2UCdO6
Source: the Alexandria database
Functional: GGA-PBE
Structure: relaxed

Geometry as extended XYZ:
```
20
Lattice="5.781 0.000 0.000 0.000 5.871 0.000 -5.728 0.000 8.230" Properties=species:S:1:pos:R:3 pbc="T T T"
Na -0.041 0.243 2.019
Na -2.905 2.692 6.134
Na 2.958 3.178 2.096
Na 0.094 5.628 6.211
U 2.890 0.000 0.000
U 0.026 2.935 4.115
Cd -2.864 0.000 4.115
Cd 0.000 2.935 0.000
O -4.505 1.119 7.853
O -1.641 1.817 3.738
O -3.906 4.219 7.752
O -1.042 4.587 3.637
O -2.283 0.235 6.288
O 0.581 2.700 2.173
O -0.528 3.171 6.057
O 2.336 5.635 1.942
O 1.095 1.284 4.592
O 3.959 1.652 0.477
O 1.694 4.054 4.492
O 4.558 4.752 0.377
```

Properties
For the electronic total energy, the calculation gives -63.3 eV per formula unit. The value obtained for the formation energy without anion corrections is -1.87 eV/atom.

---

No. 8
Compound: Be3NiOs
Source: the Alexandria database
Functional: GGA-PBE
Structure: relaxed

Geometry as extended XYZ:
```
5
Lattice="4.121 0.000 0.000 0.000 4.121 0.000 0.000 0.000 4.121" Properties=species:S:1:pos:R:3 pbc="T T T"
Be 0.000 0.000 2.060
Be 0.000 2.060 0.000
Be 2.060 0.000 0.000
Ni 2.060 2.060 2.060
Os 0.000 0.000 0.000
```

Properties
For the electronic total energy, the calculation gives -23.5 eV per formula unit. Its energy above the most stable polymorph in this dataset is 312 meV per atom. For the energy relative to the elements, the calculation gives 0.941 eV per atom.

---

No. 9
Compound: HfNbAu
Source: the Alexandria database
Functional: GGA-PBE
Structure: relaxed

Geometry as extended XYZ:
```
3
Lattice="-1.484 1.484 6.505 1.484 -1.484 6.505 1.484 1.484 -6.505" Properties=species:S:1:pos:R:3 pbc="T T T"
Hf 0.000 0.000 0.000
Nb 0.000 0.000 4.292
Au 0.000 0.000 8.682
```

Properties
For the electronic total energy, the calculation gives -23.9 eV per formula unit. Its energy above the most stable polymorph in this dataset is 156 meV per atom. For the energy relative to the elements, the calculation gives -0.210 eV per atom.

---

No. 10
Compound: CaTlRh3
Source: the Alexandria database
Functional: GGA-PBE
Structure: relaxed

Geometry as extended XYZ:
```
5
Lattice="5.007 0.000 0.000 0.000 5.007 0.000 0.000 0.000 5.007" Properties=species:S:1:pos:R:3 pbc="T T T"
Ca 0.000 0.000 0.000
Tl 2.503 2.503 2.503
Rh 0.000 2.503 2.503
Rh 2.503 0.000 2.503
Rh 2.503 2.503 0.000
```

Properties
For the electronic total energy, the calculation gives -22.2 eV per formula unit. Its energy above the most stable polymorph in this dataset is 0 meV per atom. For the energy relative to the elements, the calculation gives 0.837 eV per atom.

---

No. 11
Compound: CsRhAuBr2
Source: the Alexandria database
Functional: GGA-PBE
Structure: relaxed

Geometry as extended XYZ:
```
5
Lattice="5.352 0.000 0.000 0.000 5.352 0.000 0.000 0.000 6.494" Properties=species:S:1:pos:R:3 pbc="T T T"
Cs 0.000 0.000 0.000
Rh 2.676 2.676 0.000
Au 0.000 0.000 3.247
Br 0.000 2.676 3.247
Br 2.676 0.000 3.247
```

Properties
For the electronic total energy, the calculation gives -12.3 eV per formula unit. The value obtained for the formation energy without anion corrections is 0.51 eV/atom.

---

No. 12
Compound: Li2ErCu2P2
Source: the Alexandria database
Functional: GGA-PBE
Structure: relaxed

Geometry as extended XYZ:
```
7
Lattice="1.978 1.142 7.545 -1.978 1.142 7.545 0.000 -2.284 7.545" Properties=species:S:1:pos:R:3 pbc="T T T"
Li 0.000 0.000 3.227
Li 0.000 0.000 19.408
Er 0.000 0.000 0.000
Cu 0.000 0.000 9.631
Cu 0.000 0.000 13.003
P 0.000 0.000 5.769
P 0.000 0.000 16.866
```

Properties
For the electronic total energy, the calculation gives -32.7 eV per formula unit. For the energy relative to the elements, the calculation gives -0.763 eV per atom.

---

No. 13
Compound: InIrI
Source: the Alexandria database
Functional: GGA-PBE
Structure: relaxed

Geometry as extended XYZ:
```
6
Lattice="2.733 -2.702 0.000 2.733 2.702 0.000 -0.633 0.000 10.802" Properties=species:S:1:pos:R:3 pbc="T T T"
In 0.684 0.000 1.478
In 4.149 0.000 9.323
Ir 1.437 0.000 9.706
Ir 3.396 0.000 1.095
I 1.053 0.000 7.014
I 3.780 0.000 3.787
```

Properties
For the electronic total energy, the calculation gives -12.9 eV per formula unit. The value obtained for the formation energy without anion corrections is 0.09 eV/atom. Its energy above the most stable polymorph in this dataset is 104 meV per atom.

---

No. 14
Compound: NaIn2I8
Source: the Alexandria database
Functional: GGA-PBE
Structure: relaxed

Geometry as extended XYZ:
```
11
Lattice="7.717 -5.279 0.000 7.717 5.279 0.000 -1.895 0.000 7.100" Properties=species:S:1:pos:R:3 pbc="T T T"
Na 0.000 0.000 0.000
In 1.540 0.000 4.734
In 12.000 0.000 2.366
I 5.928 3.102 1.780
I 2.425 0.000 2.140
I 7.612 3.102 5.320
I 3.726 0.000 6.401
I 9.813 0.000 0.699
I 5.928 -3.102 1.780
I 11.114 0.000 4.960
I 7.612 -3.102 5.320
```

Properties
For the electronic total energy, the calculation gives -25.0 eV per formula unit. The value obtained for the formation energy without anion corrections is -0.53 eV/atom. Its energy above the most stable polymorph in this dataset is 0 meV per atom.

---

No. 15
Compound: CuPtSe
Source: the Alexandria database
Functional: GGA-PBE
Structure: relaxed

Geometry as extended XYZ:
```
6
Lattice="3.245 -2.236 0.000 3.245 2.236 0.000 -3.147 0.000 8.233" Properties=species:S:1:pos:R:3 pbc="T T T"
Cu -0.448 0.000 3.425
Cu 3.790 0.000 4.808
Pt -0.316 0.000 5.973
Pt 3.658 0.000 2.260
Se 1.285 0.000 1.608
Se 2.057 0.000 6.625
```

Properties
For the electronic total energy, the calculation gives -13.7 eV per formula unit. The value obtained for the formation energy without anion corrections is -0.01 eV/atom. Its energy above the most stable polymorph in this dataset is 0 meV per atom.

---

No. 16
Compound: LaSmZn2
Source: the Alexandria database
Functional: GGA-PBE
Structure: relaxed

Geometry as extended XYZ:
```
4
Lattice="0.000 3.699 3.699 3.699 0.000 3.699 3.699 3.699 0.000" Properties=species:S:1:pos:R:3 pbc="T T T"
La 0.000 0.000 0.000
Sm 3.699 3.699 3.699
Zn 1.850 1.850 1.850
Zn 5.549 5.549 5.549
```

Properties
For the electronic total energy, the calculation gives -13.4 eV per formula unit. For the energy relative to the elements, the calculation gives -0.309 eV per atom.

---

No. 17
Compound: TlReP2
Source: the Alexandria database
Functional: GGA-PBE
Structure: relaxed

Geometry as extended XYZ:
```
4
Lattice="3.009 0.000 0.000 0.000 3.009 0.000 0.000 0.000 8.322" Properties=species:S:1:pos:R:3 pbc="T T T"
Tl 0.000 0.000 0.000
Re 0.000 0.000 4.161
P 1.504 1.504 2.760
P 1.504 1.504 5.562
```

Properties
For the electronic total energy, the calculation gives -25.5 eV per formula unit. Its energy above the most stable polymorph in this dataset is 14 meV per atom. For the energy relative to the elements, the calculation gives 0.025 eV per atom.

---

No. 18
Compound: SrTaPb2
Source: the Alexandria database
Functional: GGA-PBE
Structure: relaxed

Geometry as extended XYZ:
```
4
Lattice="-2.530 2.530 4.214 2.530 -2.530 4.214 2.530 2.530 -4.214" Properties=species:S:1:pos:R:3 pbc="T T T"
Sr 0.000 0.000 0.000
Ta 0.000 0.000 4.214
Pb 2.530 0.000 2.107
Pb 0.000 2.530 2.107
```

Properties
For the electronic total energy, the calculation gives -19.4 eV per formula unit. For the energy relative to the elements, the calculation gives 0.398 eV per atom.

---

No. 19
Compound: TlPOF2
Source: the Alexandria database
Functional: GGA-PBE
Structure: relaxed

Geometry as extended XYZ:
```
5
Lattice="4.567 0.000 0.000 0.000 4.567 0.000 0.000 0.000 3.572" Properties=species:S:1:pos:R:3 pbc="T T T"
Tl 0.000 0.000 0.000
P 2.284 2.284 1.786
O 2.284 2.284 0.000
F 0.000 2.284 1.786
F 2.284 0.000 1.786
```

Properties
For the electronic total energy, the calculation gives -23.0 eV per formula unit. The value obtained for the formation energy without anion corrections is -1.31 eV/atom. Its energy above the most stable polymorph in this dataset is 0 meV per atom.

---

No. 20
Compound: Tl2HgP
Source: the Alexandria database
Functional: GGA-PBE
Structure: relaxed

Geometry as extended XYZ:
```
4
Lattice="0.000 3.738 3.738 3.738 0.000 3.738 3.738 3.738 0.000" Properties=species:S:1:pos:R:3 pbc="T T T"
Tl 0.000 0.000 0.000
Tl 1.869 1.869 1.869
Hg 3.738 3.738 3.738
P 5.606 5.606 5.606
```

Properties
For the electronic total energy, the calculation gives -9.3 eV per formula unit. Its energy above the most stable polymorph in this dataset is 167 meV per atom. For the energy relative to the elements, the calculation gives 0.284 eV per atom.